A relaxed structure of FeNiO3. Source: Alexandria, functional PBE+U. Values from VASP.

Geometry as Quantum ESPRESSO input:
```
&SYSTEM
  ibrav = 0, nat = 10, ntyp = 3
/
ATOMIC_SPECIES
Fe 55.84 Fe.upf
Ni 58.69 Ni.upf
O 16.00 O.upf
CELL_PARAMETERS angstrom
2.531 1.461 4.572
-2.531 1.461 4.572
0.000 -2.923 4.572
ATOMIC_POSITIONS crystal
Fe 0.148 0.148 0.148
Fe 0.852 0.852 0.852
Ni 0.349 0.349 0.349
Ni 0.651 0.651 0.651
O 0.053 0.445 0.756
O 0.244 0.947 0.555
O 0.445 0.756 0.053
O 0.555 0.244 0.947
O 0.756 0.053 0.445
O 0.947 0.555 0.244
```

* DOS at the Fermi energy: 3.05 states/eV/f.u.
* calculated density: 5.319 g/cm³
* total magnetization: 12.00 μB per cell
* final energy: -5.6716 eV per atom